(1)
VASP calculation (PBE-GGA) on a relaxed NiAgOs3 crystal.

Cell: 4.7399 4.7399 4.7399 Å, 90.00 90.00 90.00°
Space group Pm-3m (No. 221)
Unique sites:
Ni 0.0000 0.0000 0.0000 x1
Ag 0.5000 0.5000 0.5000 x1
Os 0.0000 0.5000 0.5000 x3

Computed properties:
relative energy among the computed polymorphs = 1385 meV/atom
theoretical density = 11.5 Mg/m³
electronic total energy = -5.075 eV/atom
D(E_F) = 8.11 states/eV per cell
energy relative to the elements = 3390 meV per atom
spin magnetization = 4.1 μB/cell

(2)
VASP calculation (PBE-GGA) on a relaxed PrMgCd6 crystal.

Cell: 4.8805 7.4023 10.6829 Å, 90.00 90.00 90.00°
Space group Amm2 (No. 38)
Unique sites:
Pr 0.0000 0.0000 0.0000 x2
Mg 0.5000 0.0000 0.7538 x2
Cd 0.0000 0.0000 0.5663 x2
Cd 0.0000 0.2084 0.2794 x4
Cd 0.5000 0.0000 0.1992 x2
Cd 0.5000 0.2074 0.4731 x4

Computed properties:
theoretical density = 7.2 Mg/m³
electronic total energy = -1.659 eV/atom
D(E_F) = 7.07 states/eV per cell
energy relative to the elements = -175 meV per atom
spin magnetization = 0.0 μB/cell

(3)
VASP calculation (PBE-GGA) on a relaxed RbB2F crystal.

Cell: 6.8103 6.8103 6.8103 Å, 90.00 90.00 90.00°
Space group Fm-3m (No. 225)
Unique sites:
Rb 0.0000 0.0000 0.0000 x4
B 0.2500 0.2500 0.2500 x8
F 0.0000 0.0000 0.5000 x4

Computed properties:
relative energy among the computed polymorphs = 1887 meV/atom
theoretical density = 2.7 Mg/m³
electronic total energy = -2.323 eV/atom
D(E_F) = 14.41 states/eV per cell
ΔE_f (raw) = 1.726 eV/atom
spin magnetization = 5.7 μB/cell

(4)
VASP calculation (PBE-GGA) on a relaxed Ac6NdY3 crystal.

Cell: 12.4597 3.8104 17.9731 Å, 90.00 109.05 90.00°
Space group P2_1/m (No. 11)
Unique sites:
Ac 0.0991 0.2500 0.4533 x2
Ac 0.1379 0.2500 0.0944 x2
Ac 0.1413 0.2500 0.8836 x2
Ac 0.3479 0.7500 0.6011 x2
Ac 0.3781 0.7500 0.8268 x2
Ac 0.3969 0.7500 0.2443 x2
Nd 0.1443 0.2500 0.6791 x2
Y 0.1352 0.7500 0.2882 x2
Y 0.3738 0.2500 0.4235 x2
Y 0.3847 0.7500 0.0307 x2

Computed properties:
theoretical density = 7.3 Mg/m³
electronic total energy = -4.792 eV/atom
D(E_F) = 29.76 states/eV per cell
energy relative to the elements = 89 meV per atom
spin magnetization = 0.0 μB/cell

(5)
VASP calculation (PBE-GGA) on a relaxed ThMg4Tl2 crystal.

Cell: 8.6826 8.6826 4.6411 Å, 90.00 90.00 90.00°
Space group P4_2/mnm (No. 136)
Unique sites:
Th 0.0000 0.0000 0.0000 x2
Mg 0.0982 0.3449 0.5000 x8
Tl 0.2010 0.7990 0.5000 x4

Computed properties:
theoretical density = 7.0 Mg/m³
electronic total energy = -2.702 eV/atom
D(E_F) = 7.95 states/eV per cell
energy relative to the elements = -55 meV per atom
spin magnetization = 0.0 μB/cell

(6)
VASP calculation (PBE-GGA) on a relaxed NpCuN crystal.

Cell: 3.8659 3.8659 6.5540 Å, 90.00 90.00 90.00°
Space group I4mm (No. 107)
Unique sites:
Np 0.0000 0.0000 0.0000 x2
Cu 0.0000 0.0000 0.4016 x2
N 0.0000 0.0000 0.6914 x2

Computed properties:
theoretical density = 10.7 Mg/m³
electronic total energy = -8.077 eV/atom
D(E_F) = 17.99 states/eV per cell
ΔE_f (raw) = 0.377 eV/atom
spin magnetization = 6.9 μB/cell